Compound: VCuCl6
Source: Alexandria
Functional: PBE
Structure: optimized geometry

a b c (Å): 6.046 6.048 6.463
angles (deg): 62.06 62.07 60.00
Last column: magnetic moment on the atom in μB.
Atoms (fractional coordinates):
V: 0.000 0.000 0.000  0.15
Cu: 0.500 0.500 0.500  -0.08
Cl: 0.092 0.386 0.758  -0.01
Cl: 0.764 0.092 0.758  -0.01
Cl: 0.614 0.236 0.242  -0.01
Cl: 0.236 0.908 0.242  -0.01
Cl: 0.908 0.614 0.242  -0.01
Cl: 0.386 0.764 0.758  -0.01

Values from the calculation:
Raw total energy = -3.8445 eV/atom
Mass density = 3.16 g/cm3
Raw formation energy = -0.81 eV per atom
Space group = R-3
D(E_F) = 1.8 states/eV/cell
Total magnetic moment = 0.0003 μB/atom
V = 172 Å³/cell

=====

Compound: VCu2Cl
Source: Alexandria
Functional: PBE
Structure: optimized geometry

a b c (Å): 4.464 4.464 4.464
angles (deg): 60.00 60.00 60.00
Last column: magnetic moment on the atom in μB.
Atoms (fractional coordinates):
V: 0.500 0.500 0.500  2.42
Cu: 0.250 0.250 0.250  0.04
Cu: 0.750 0.750 0.750  0.04
Cl: 0.000 0.000 0.000  0.06

Values from the calculation:
Excess energy over the best structure of this formula in the dataset = 377 meV/atom
Raw total energy = -3.9968 eV/atom
Mass density = 5.64 g/cm3
Raw formation energy = 0.79 eV per atom
Space group = Fm-3m
D(E_F) = 3.9 states/eV/cell
Total magnetic moment = 0.7384 μB/atom
V = 63 Å³/cell

=====

Compound: VCu3Cl
Source: Alexandria
Functional: PBE
Structure: optimized geometry

a b c (Å): 4.458 4.458 4.458
angles (deg): 90.00 90.00 90.00
Last column: magnetic moment on the atom in μB.
Atoms (fractional coordinates):
V: 0.500 0.500 0.500  2.84
Cu: 0.000 0.500 0.000  0.08
Cu: 0.000 0.000 0.500  0.08
Cu: 0.500 0.000 0.000  0.08
Cl: 0.000 0.000 0.000  0.09

Values from the calculation:
Excess energy over the best structure of this formula in the dataset = 0 meV/atom
Raw total energy = -3.5700 eV/atom
Mass density = 5.19 g/cm3
Raw formation energy = 1.08 eV per atom
Space group = Pm-3m
D(E_F) = 4.1 states/eV/cell
Total magnetic moment = 0.7941 μB/atom
V = 89 Å³/cell

=====

Compound: VCu3Cl
Source: Alexandria
Functional: PBE
Structure: optimized geometry

a b c (Å): 4.719 4.719 4.719
angles (deg): 90.00 90.00 90.00
Last column: magnetic moment on the atom in μB.
Atoms (fractional coordinates):
V: 0.000 0.000 0.000  2.25
Cu: 0.000 0.500 0.000  0.07
Cu: 0.000 0.000 0.500  0.07
Cu: 0.500 0.000 0.000  0.07
Cl: 0.500 0.500 0.500  0.04

Values from the calculation:
Excess energy over the best structure of this formula in the dataset = 214 meV/atom
Raw total energy = -3.3555 eV/atom
Mass density = 4.38 g/cm3
Raw formation energy = 1.30 eV per atom
Space group = Pm-3m
D(E_F) = 6.9 states/eV/cell
Total magnetic moment = 0.5787 μB/atom
V = 105 Å³/cell

=====

Compound: VCu2Cl6
Source: Alexandria
Functional: PBE
Structure: optimized geometry

a b c (Å): 6.273 8.682 8.682
angles (deg): 78.38 84.82 84.82
Last column: magnetic moment on the atom in μB.
Atoms (fractional coordinates):
V: 0.250 0.087 0.913  1.66
V: 0.750 0.913 0.087  1.66
Cu: 0.210 0.531 0.699  -0.25
Cu: 0.290 0.301 0.469  -0.25
Cu: 0.790 0.469 0.301  -0.25
Cu: 0.710 0.699 0.531  -0.25
Cl: 0.355 0.723 0.533  -0.07
Cl: 0.145 0.467 0.277  -0.07
Cl: 0.645 0.277 0.467  -0.07
Cl: 0.855 0.533 0.723  -0.07
Cl: 0.853 0.880 0.342  -0.06
Cl: 0.647 0.658 0.120  -0.06
Cl: 0.147 0.120 0.658  -0.06
Cl: 0.353 0.342 0.880  -0.06
Cl: 0.092 0.835 0.972  -0.04
Cl: 0.408 0.028 0.165  -0.04
Cl: 0.908 0.165 0.028  -0.04
Cl: 0.592 0.972 0.835  -0.04

Values from the calculation:
Excess energy over the best structure of this formula in the dataset = 0 meV/atom
Raw total energy = -3.9673 eV/atom
Mass density = 2.82 g/cm3
Raw formation energy = -0.81 eV per atom
Space group = C2/c
D(E_F) = 14.4 states/eV/cell
Total magnetic moment = 0.1062 μB/atom
V = 460 Å³/cell

=====

Compound: V3CuCl
Source: Alexandria
Functional: PBE
Structure: optimized geometry

a b c (Å): 4.669 4.669 4.669
angles (deg): 90.00 90.00 90.00
Last column: magnetic moment on the atom in μB.
Atoms (fractional coordinates):
V: 0.000 0.500 0.000  2.15
V: 0.000 0.000 0.500  2.15
V: 0.500 0.000 0.000  2.15
Cu: 0.000 0.000 0.000  0.10
Cl: 0.500 0.500 0.500  0.04

Values from the calculation:
Excess energy over the best structure of this formula in the dataset = 607 meV/atom
Raw total energy = -5.3964 eV/atom
Mass density = 4.11 g/cm3
Raw formation energy = 1.26 eV per atom
Space group = Pm-3m
D(E_F) = 14.7 states/eV/cell
Total magnetic moment = 1.5414 μB/atom
V = 102 Å³/cell

=====

Compound: VCuCl2
Source: Alexandria
Functional: PBE
Structure: optimized geometry

a b c (Å): 5.681 5.681 6.680
angles (deg): 64.84 64.84 90.00
Last column: magnetic moment on the atom in μB.
Atoms (fractional coordinates):
V: 0.500 0.500 0.000  3.01
V: 0.250 0.750 0.500  3.01
Cu: 0.000 0.000 0.000  0.05
Cu: 0.750 0.250 0.500  0.05
Cl: 0.646 0.125 0.250  -0.01
Cl: 0.104 0.625 0.250  -0.01
Cl: 0.375 0.354 0.750  -0.01
Cl: 0.875 0.896 0.750  -0.01

Values from the calculation:
Raw total energy = -4.3229 eV/atom
Mass density = 3.57 g/cm3
Raw formation energy = -0.10 eV per atom
Space group = I-42d
D(E_F) = 4.9 states/eV/cell
Total magnetic moment = 0.9790 μB/atom
V = 172 Å³/cell

=====

Compound: VCu3Cl9
Source: Alexandria
Functional: PBE
Structure: optimized geometry

a b c (Å): 8.821 9.357 10.247
angles (deg): 73.82 64.51 61.88
Last column: magnetic moment on the atom in μB.
Atoms (fractional coordinates):
V: 0.027 0.493 0.009  -0.66
V: 0.471 0.993 0.509  -0.66
Cu: 0.815 0.569 0.667  0.33
Cu: 0.949 0.069 0.167  0.33
Cu: 0.986 0.935 0.839  0.35
Cu: 0.240 0.435 0.339  0.35
Cu: 0.573 0.234 0.730  0.34
Cu: 0.462 0.734 0.230  0.34
Cl: 0.347 0.165 0.330  0.05
Cl: 0.158 0.665 0.830  0.05
Cl: 0.317 0.289 0.940  0.04
Cl: 0.454 0.789 0.440  0.04
Cl: 0.179 0.070 0.678  0.05
Cl: 0.072 0.570 0.178  0.05
Cl: 0.745 0.724 0.062  0.05
Cl: 0.469 0.224 0.562  0.05
Cl: 0.769 0.936 0.361  0.05
Cl: 0.934 0.436 0.861  0.05
Cl: 0.566 0.820 0.695  0.07
Cl: 0.918 0.320 0.195  0.07
Cl: 0.487 0.492 0.213  0.15
Cl: 0.808 0.992 0.713  0.15
Cl: 0.691 0.424 0.639  0.11
Cl: 0.246 0.924 0.139  0.11
Cl: 0.815 0.106 0.013  0.10
Cl: 0.066 0.606 0.513  0.10

Values from the calculation:
Raw total energy = -3.6179 eV/atom
Mass density = 2.78 g/cm3
Raw formation energy = -0.69 eV per atom
Space group = Cc
D(E_F) = 16.2 states/eV/cell
Total magnetic moment = 0.0855 μB/atom
V = 670 Å³/cell